Record 1
Density functional theory data (PBE) for a relaxed Cs3K2Cl crystal.

Cell lengths 10.232, 10.232, 9.588 Å; angles 91.90, 91.90, 82.35 degrees
Positions (direct):
1 Cs 0.174 0.826 0.750
2 Cs 0.311 0.404 0.469
3 Cs 0.404 0.311 0.969
4 Cs 0.596 0.689 0.031
5 Cs 0.689 0.596 0.531
6 Cs 0.826 0.174 0.250
7 K 0.029 0.683 0.183
8 K 0.317 0.971 0.317
9 K 0.683 0.029 0.683
10 K 0.971 0.317 0.817
11 Cl 0.431 0.569 0.750
12 Cl 0.569 0.431 0.250

Its formation energy (no corrections) is -0.58 eV/atom. Its symmetry is No. 15.

---

Record 2
Density functional theory data (PBE) for a relaxed Cs2KCl3 crystal.

Cell lengths 8.410, 8.410, 8.410 Å; angles 146.77, 131.68, 59.90 degrees
Positions (direct):
1 Cs 0.169 0.169 0.000
2 Cs 0.831 0.831 0.000
3 K 0.500 0.500 0.000
4 Cl 0.000 0.500 0.500
5 Cl 0.350 0.850 0.500
6 Cl 0.650 0.150 0.500

Its formation energy (no corrections) is -1.95 eV/atom. Its symmetry is No. 71.

---

Record 3
Density functional theory data (PBE) for a relaxed Cs2KCl2 crystal.

Cell lengths 9.218, 9.218, 9.218 Å; angles 139.66, 139.66, 58.37 degrees
Positions (direct):
1 Cs 0.180 0.180 0.000
2 Cs 0.820 0.820 0.000
3 K 0.500 0.500 0.000
4 Cl 0.250 0.750 0.500
5 Cl 0.750 0.250 0.500

Its formation energy (no corrections) is -1.37 eV/atom. Its symmetry is No. 139.

---

Record 4
Density functional theory data (PBE) for a relaxed Cs8KCl4 crystal.

Cell lengths 13.201, 13.201, 18.223 Å; angles 133.31, 133.31, 22.14 degrees
Positions (direct):
1 Cs 0.000 0.000 0.000
2 Cs 0.007 0.007 0.284
3 Cs 0.039 0.039 0.706
4 Cs 0.310 0.310 0.956
5 Cs 0.387 0.387 0.371
6 Cs 0.658 0.658 0.620
7 Cs 0.689 0.689 0.042
8 Cs 0.696 0.696 0.326
9 K 0.349 0.349 0.663
10 Cl 0.023 0.023 0.496
11 Cl 0.192 0.192 0.184
12 Cl 0.504 0.504 0.142
13 Cl 0.674 0.674 0.830

Its formation energy (no corrections) is -1.15 eV/atom. Its symmetry is No. 8.

---

Record 5
Density functional theory data (PBE) for a relaxed CsK2Cl2 crystal.

Cell lengths 8.395, 8.395, 8.395 Å; angles 139.06, 139.06, 59.28 degrees
Positions (direct):
1 Cs 0.000 0.000 0.000
2 K 0.316 0.316 0.000
3 K 0.684 0.684 0.000
4 Cl 0.250 0.750 0.500
5 Cl 0.750 0.250 0.500

The energy relative to the lowest polymorph listed for this composition is 44.0 meV/atom. Its formation energy (no corrections) is -1.43 eV/atom. Its symmetry is No. 139.

---

Record 6
Density functional theory data (PBE) for a relaxed Cs6KCl8 crystal.

Cell lengths 10.250, 10.250, 7.028 Å; angles 90.00, 90.00, 120.00 degrees
Positions (direct):
1 Cs 0.001 0.371 0.220
2 Cs 0.370 0.999 0.220
3 Cs 0.371 0.370 0.780
4 Cs 0.629 0.630 0.220
5 Cs 0.630 0.001 0.780
6 Cs 0.999 0.629 0.780
7 K 0.000 0.000 0.500
8 Cl 0.001 0.282 0.709
9 Cl 0.281 0.999 0.709
10 Cl 0.282 0.281 0.291
11 Cl 0.333 0.667 0.998
12 Cl 0.667 0.333 0.002
13 Cl 0.718 0.719 0.709
14 Cl 0.719 0.001 0.291
15 Cl 0.999 0.718 0.291

Its formation energy (no corrections) is -1.76 eV/atom. Its symmetry is No. 147.

---

Record 7
Density functional theory data (PBE) for a relaxed Cs2KLaCl6 crystal.

Cell lengths 8.212, 8.212, 8.212 Å; angles 60.00, 60.00, 60.00 degrees
Positions (direct):
1 Cs 0.250 0.250 0.250
2 Cs 0.750 0.750 0.750
3 K 0.000 0.000 0.000
4 La 0.500 0.500 0.500
5 Cl 0.261 0.261 0.739
6 Cl 0.261 0.739 0.261
7 Cl 0.261 0.739 0.739
8 Cl 0.739 0.261 0.261
9 Cl 0.739 0.261 0.739
10 Cl 0.739 0.739 0.261

Its formation energy (no corrections) is -2.17 eV/atom. Its symmetry is No. 225.

---

Record 8
Density functional theory data (PBE) for a relaxed CsK2LaCl6 crystal.

Cell lengths 8.419, 8.419, 8.419 Å; angles 56.51, 56.51, 56.51 degrees
Positions (direct):
1 Cs 0.000 0.000 0.000
2 K 0.281 0.281 0.281
3 K 0.794 0.794 0.794
4 La 0.484 0.484 0.484
5 Cl 0.116 0.649 0.427
6 Cl 0.234 0.573 0.844
7 Cl 0.427 0.116 0.649
8 Cl 0.573 0.844 0.234
9 Cl 0.649 0.427 0.116
10 Cl 0.844 0.234 0.573

Its formation energy (no corrections) is -2.16 eV/atom. Its symmetry is No. 146.

---

Record 9
Density functional theory data (PBE) for a relaxed CsKLi2Cl4 crystal.

Cell lengths 5.055, 5.055, 9.076 Å; angles 90.00, 90.00, 90.00 degrees
Positions (direct):
1 Cs 0.000 0.000 0.000
2 K 0.000 0.000 0.500
3 Li 0.500 0.500 0.276
4 Li 0.500 0.500 0.724
5 Cl 0.000 0.500 0.272
6 Cl 0.000 0.500 0.728
7 Cl 0.500 0.000 0.272
8 Cl 0.500 0.000 0.728

Its formation energy (no corrections) is -1.80 eV/atom. Its symmetry is No. 123.

---

Record 10
Density functional theory data (PBE) for a relaxed Cs3KLi2Cl6 crystal.

Cell lengths 7.950, 7.950, 8.933 Å; angles 90.00, 90.00, 120.00 degrees
Positions (direct):
1 Cs 0.000 0.000 0.000
2 Cs 0.333 0.667 0.631
3 Cs 0.667 0.333 0.369
4 K 0.000 0.000 0.500
5 Li 0.333 0.667 0.232
6 Li 0.667 0.333 0.768
7 Cl 0.174 0.348 0.285
8 Cl 0.174 0.826 0.285
9 Cl 0.348 0.174 0.715
10 Cl 0.652 0.826 0.285
11 Cl 0.826 0.174 0.715
12 Cl 0.826 0.652 0.715

Its formation energy (no corrections) is -1.85 eV/atom. Its symmetry is No. 164.

---

Record 11
Density functional theory data (PBE) for a relaxed CsKLiCl3 crystal.

Cell lengths 7.799, 7.799, 12.223 Å; angles 90.00, 90.00, 147.11 degrees
Positions (direct):
1 Cs 0.244 0.756 0.750
2 Cs 0.756 0.244 0.250
3 K 0.500 0.500 0.000
4 K 0.500 0.500 0.500
5 Li 0.034 0.966 0.250
6 Li 0.966 0.034 0.750
7 Cl 0.125 0.875 0.093
8 Cl 0.125 0.875 0.407
9 Cl 0.448 0.552 0.250
10 Cl 0.552 0.448 0.750
11 Cl 0.875 0.125 0.593
12 Cl 0.875 0.125 0.907

Its formation energy (no corrections) is -1.90 eV/atom. Its symmetry is No. 63.

---

Record 12
Density functional theory data (PBE) for a relaxed Cs2KLiCl4 crystal.

Cell lengths 9.071, 9.071, 9.364 Å; angles 118.16, 118.16, 91.34 degrees
Positions (direct):
1 Cs 0.000 0.000 0.000
2 Cs 0.000 0.000 0.500
3 Cs 0.000 0.500 0.000
4 Cs 0.500 0.000 0.500
5 K 0.500 0.500 0.000
6 K 0.500 0.500 0.500
7 Li 0.000 0.500 0.500
8 Li 0.500 0.000 0.000
9 Cl 0.190 0.675 0.479
10 Cl 0.254 0.283 0.517
11 Cl 0.283 0.254 0.017
12 Cl 0.325 0.810 0.021
13 Cl 0.675 0.190 0.979
14 Cl 0.717 0.746 0.983
15 Cl 0.746 0.717 0.483
16 Cl 0.810 0.325 0.521

Its formation energy (no corrections) is -1.83 eV/atom. Its symmetry is No. 15.

---

Record 13
Density functional theory data (PBE) for a relaxed CsK2LiCl crystal.

Cell lengths 6.259, 6.259, 6.909 Å; angles 90.00, 90.00, 90.00 degrees
Positions (direct):
1 Cs 0.000 0.000 0.000
2 K 0.000 0.500 0.500
3 K 0.500 0.000 0.500
4 Li 0.500 0.500 0.000
5 Cl 0.000 0.000 0.500

Its formation energy (no corrections) is -0.64 eV/atom. Its symmetry is No. 123.

---

Record 14
Density functional theory data (PBE) for a relaxed Cs2KLiCl crystal.

Cell lengths 6.941, 6.941, 6.257 Å; angles 90.00, 90.00, 90.00 degrees
Positions (direct):
1 Cs 0.000 0.500 0.000
2 Cs 0.500 0.000 0.000
3 K 0.000 0.000 0.500
4 Li 0.500 0.500 0.500
5 Cl 0.000 0.000 0.000

The energy relative to the lowest polymorph listed for this composition is 0.0 meV/atom. Its formation energy (no corrections) is -0.65 eV/atom. Its symmetry is No. 123.

---

Record 15
Density functional theory data (PBE) for a relaxed Cs2KLiCl crystal.

Cell lengths 7.999, 7.999, 4.861 Å; angles 90.00, 90.00, 90.00 degrees
Positions (direct):
1 Cs 0.000 0.500 0.000
2 Cs 0.500 0.000 0.000
3 K 0.000 0.000 0.500
4 Li 0.500 0.500 0.500
5 Cl 0.500 0.500 0.000

The energy relative to the lowest polymorph listed for this composition is 68.0 meV/atom. Its formation energy (no corrections) is -0.59 eV/atom. Its symmetry is No. 123.

---

Record 16
Density functional theory data (PBE) for a relaxed Cs4KMg3Cl12 crystal.

Cell lengths 9.236, 9.236, 9.236 Å; angles 109.47, 109.47, 109.47 degrees
Positions (direct):
1 Cs 0.000 0.000 0.500
2 Cs 0.000 0.500 0.000
3 Cs 0.500 0.000 0.000
4 Cs 0.500 0.500 0.500
5 K 0.000 0.000 0.000
6 Mg 0.000 0.500 0.500
7 Mg 0.500 0.000 0.500
8 Mg 0.500 0.500 0.000
9 Cl 0.000 0.277 0.277
10 Cl 0.000 0.723 0.723
11 Cl 0.250 0.500 0.750
12 Cl 0.250 0.750 0.500
13 Cl 0.277 0.000 0.277
14 Cl 0.277 0.277 0.000
15 Cl 0.500 0.250 0.750
16 Cl 0.500 0.750 0.250
17 Cl 0.723 0.000 0.723
18 Cl 0.723 0.723 0.000
19 Cl 0.750 0.250 0.500
20 Cl 0.750 0.500 0.250

Its formation energy (no corrections) is -1.80 eV/atom. Its symmetry is No. 229.

---

Record 17
Density functional theory data (PBE) for a relaxed Cs3KMg2Cl8 crystal.

Cell lengths 7.802, 7.802, 9.863 Å; angles 90.00, 90.00, 120.00 degrees
Positions (direct):
1 Cs 0.000 0.000 0.000
2 Cs 0.333 0.667 0.634
3 Cs 0.667 0.333 0.366
4 K 0.000 0.000 0.500
5 Mg 0.333 0.667 0.209
6 Mg 0.667 0.333 0.791
7 Cl 0.174 0.347 0.304
8 Cl 0.174 0.826 0.304
9 Cl 0.333 0.667 0.974
10 Cl 0.347 0.174 0.696
11 Cl 0.653 0.826 0.304
12 Cl 0.667 0.333 0.026
13 Cl 0.826 0.174 0.696
14 Cl 0.826 0.653 0.696

Its formation energy (no corrections) is -1.94 eV/atom. Its symmetry is No. 164.

---

Record 18
Density functional theory data (PBE) for a relaxed Cs2KMg2Cl7 crystal.

Cell lengths 14.011, 14.011, 14.011 Å; angles 158.99, 158.99, 29.88 degrees
Positions (direct):
1 Cs 0.182 0.182 0.000
2 Cs 0.818 0.818 0.000
3 K 0.000 0.000 0.000
4 Mg 0.407 0.407 0.000
5 Mg 0.593 0.593 0.000
6 Cl 0.090 0.590 0.500
7 Cl 0.315 0.315 0.000
8 Cl 0.410 0.910 0.500
9 Cl 0.500 0.500 0.000
10 Cl 0.590 0.090 0.500
11 Cl 0.685 0.685 0.000
12 Cl 0.910 0.410 0.500

Its formation energy (no corrections) is -1.93 eV/atom. Its symmetry is No. 139.

---

Record 19
Density functional theory data (PBE) for a relaxed CsKMg2Cl6 crystal.

Cell lengths 10.253, 10.253, 6.793 Å; angles 92.86, 92.86, 92.20 degrees
Positions (direct):
1 Cs 0.104 0.896 0.750
2 Cs 0.896 0.104 0.250
3 K 0.303 0.697 0.250
4 K 0.697 0.303 0.750
5 Mg 0.204 0.370 0.725
6 Mg 0.370 0.204 0.225
7 Mg 0.630 0.796 0.775
8 Mg 0.796 0.630 0.275
9 Cl 0.021 0.229 0.721
10 Cl 0.176 0.579 0.853
11 Cl 0.229 0.021 0.221
12 Cl 0.274 0.388 0.391
13 Cl 0.388 0.274 0.891
14 Cl 0.421 0.824 0.647
15 Cl 0.579 0.176 0.353
16 Cl 0.612 0.726 0.109
17 Cl 0.726 0.612 0.609
18 Cl 0.771 0.979 0.779
19 Cl 0.824 0.421 0.147
20 Cl 0.979 0.771 0.279

Its formation energy (no corrections) is -1.88 eV/atom. Its symmetry is No. 15.

---

Record 20
Density functional theory data (PBE) for a relaxed CsK2MnCl5 crystal.

Cell lengths 9.596, 9.596, 9.596 Å; angles 124.98, 124.98, 81.57 degrees
Positions (direct):
1 Cs 0.250 0.250 0.000
2 Cs 0.750 0.750 0.000
3 K 0.168 0.668 0.836
4 K 0.332 0.168 0.500
5 K 0.668 0.832 0.500
6 K 0.832 0.332 0.164
7 Mn 0.250 0.750 0.500
8 Mn 0.750 0.250 0.500
9 Cl 0.000 0.000 0.000
10 Cl 0.003 0.789 0.500
11 Cl 0.211 0.711 0.214
12 Cl 0.289 0.503 0.500
13 Cl 0.497 0.997 0.786
14 Cl 0.500 0.500 0.000
15 Cl 0.503 0.003 0.214
16 Cl 0.711 0.497 0.500
17 Cl 0.789 0.289 0.786
18 Cl 0.997 0.211 0.500

Its formation energy (no corrections) is -1.70 eV/atom. Its symmetry is No. 140.

---

no.,spin magnetization (Bohr magnetons per cell)
1,0.00
2,0.13
3,0.00
4,0.08
5,0.00
6,1.48
7,0.00
8,0.00
9,0.00
10,0.00
11,0.00
12,0.00
13,0.00
14,0.00
15,0.00
16,0.00
17,0.32
18,0.00
19,0.00
20,10.00